ScSiW2 | the Alexandria database | PBE-GGA | optimized geometry; space group = Imm2, No. 44; energy above the most stable polymorph in this dataset = 149.2 meV per atom; electronic total energy = -37.5 eV/f.u.; energy relative to the elements, uncorrected = 34 meV/atom; V = 16.395 Å³/atom
1.0
-3.594 3.098 2.013
-0.721 -0.631 5.064
3.665 1.129 -3.443
Sc Si W
1 1 2
Cartesian
-2.177 1.245 3.570 Sc
0.451 0.833 2.486 Si
-4.290 2.454 7.037 W
-1.105 2.766 1.156 W